*i*
The following is a DFT calculation (PBE) of a geometry-optimized BaS2Br structure.

a b c (Å): 7.9072 7.9072 7.9072
angles (deg): 37.25 37.25 37.25
Fractional positions:
Ba 0.0000 0.0000 0.0000
S 0.3894 0.3894 0.3894
S 0.6106 0.6106 0.6106
Br 0.5000 0.5000 0.5000

*ii*
The following is a DFT calculation (PBE) of a geometry-optimized BaS2Br structure.

a b c (Å): 9.3003 9.3003 9.3003
angles (deg): 144.03 144.03 51.79
Fractional positions:
Ba 0.0000 0.0000 0.0000
Ba 0.7500 0.2500 0.5000
S 0.1981 0.6250 0.0731
S 0.3750 0.4481 0.5731
S 0.5519 0.1250 0.9269
S 0.8750 0.8019 0.4269
Br 0.2500 0.7500 0.5000
Br 0.5000 0.5000 0.0000

Most stable = *i*